Entry 1:
Density functional theory data (GGA-PBE) for Pr2Ho4O after structural relaxation.

```
Pr2Ho4O
1.0
-2.298 -1.860 3.761
-0.027 -4.282 -2.134
6.665 -5.023 4.631
Pr Ho O
2 4 1
Direct
0.669 0.669 0.663 Pr
0.331 0.331 0.337 Pr
0.868 0.868 0.263 Ho
0.132 0.132 0.737 Ho
0.000 0.500 0.000 Ho
0.500 0.000 0.000 Ho
0.000 0.000 0.000 O
```

Values from the calculation:
DFT total energy (eV/atom): -5.351
Calculated density (g/cm³): 7.8
Symmetry: I4/mmm, No. 139
Formation energy without anion corrections (eV/f.u.): -4.63

Entry 2:
Density functional theory data (GGA-PBE) for FeOs2Br after structural relaxation.

```
FeOs2Br
1.0
5.356 0.090 -0.001
2.587 4.690 0.001
-3.379 -3.374 2.427
Os Fe Br
2 1 1
Direct
0.986 0.986 0.000 Os
0.747 0.247 0.500 Os
0.261 0.761 0.500 Fe
0.507 0.507 0.000 Br
```

Values from the calculation:
DFT total energy (eV/atom): -7.008
Calculated density (g/cm³): 14.2
Symmetry: Imm2, No. 44
Formation energy without anion corrections (eV/f.u.): 4.56
Distance to the lowest polymorph of the same formula (eV per formula unit): 1.87

Entry 3:
Density functional theory data (GGA-PBE) for GeP2PtPb after structural relaxation.

```
GeP2PtPb
1.0
-3.864 2.020 2.140
0.896 -2.471 3.949
2.796 3.620 1.631
Pb Pt P Ge
1 1 2 1
Direct
0.500 0.500 0.500 Pb
0.000 0.500 0.000 Pt
0.500 0.000 0.000 P
0.000 0.000 0.500 P
0.000 0.000 0.000 Ge
```

Values from the calculation:
DFT total energy (eV/atom): -4.434
Formation enthalpy at 0 K (eV per formula unit): 3.0
Calculated density (g/cm³): 8.0
Symmetry: P4/mmm, No. 123